(1)
## CdFe2Sb (PBE)

Data for CdFe2Sb after structural relaxation.

Properties
- Relative energy among the computed polymorphs: 137 meV per atom
- Volume: 18.52 Å³/atom
- DOS(E_F): 10.25 states/eV per cell
- ΔE_f (raw): 0.3435 eV/atom
- Theoretical density: 7.751 g/cm³
- Spin magnetization: 4.754 μB per formula unit
- Final energy: -0.1892 Ha/atom

Cell: 3.0877 3.0877 26.9226 Å, 90.00 90.00 120.00°
Space group R3m (No. 160, hexagonal axes)
One atom of each set of equivalent atoms:
Cd1 0.0000 0.0000 0.0000
Fe1 0.0000 0.0000 0.2505
Fe2 0.0000 0.0000 0.5237
Sb1 0.0000 0.0000 0.7825

***

(2)
## CdFeSb (PBE)

Data for CdFeSb after structural relaxation.

Properties
- Volume: 20.34 Å³/atom
- DOS(E_F): 2.39 states/eV per cell
- ΔE_f (raw): 0.2992 eV/atom
- Theoretical density: 7.892 g/cm³
- Spin magnetization: 1.757 μB per formula unit
- Final energy: -0.1544 Ha/atom

Cell: 3.2517 3.2517 6.6638 Å, 90.00 90.00 120.00°
Space group P3m1 (No. 156)
One atom of each set of equivalent atoms:
Cd1 0.0000 0.0000 0.0000
Fe1 0.6667 0.3333 0.3076
Sb1 0.3333 0.6667 0.5743